1.
Compound: ZrH2I2Br2
Source: the Alexandria database
Functional: GGA-PBE
Structure: optimized geometry

a = 4.152 Å, b = 7.896 Å, c = 7.465 Å
α = 82.86°, β = 73.85°, γ = 74.76°
Positions (direct):
H1 0.034 0.478 0.454
Br1 0.224 0.707 0.844
I1 0.437 0.865 0.262
Br2 0.776 0.293 0.156
I2 0.563 0.135 0.738
H2 0.966 0.522 0.546
Zr1 0.000 0.000 0.000

Results
Total magnetization   0.000 μB per atom
Space-group type   C2/m (12)
Uncorrected energy   -3.877 eV per atom
Crystal system   monoclinic

=====

2.
Compound: In2HBr
Source: the Alexandria database
Functional: GGA-PBE
Structure: optimized geometry

a = 5.291 Å, b = 5.291 Å, c = 5.291 Å
α = 60.00°, β = 60.00°, γ = 60.00°
Positions (direct):
In1 0.250 0.250 0.250
H1 0.000 0.000 0.000
Br1 0.500 0.500 0.500
In2 0.750 0.750 0.750

Results
Total magnetization   0.000 μB per atom
Space-group type   Fm-3m (225)
Density of states at the Fermi level   0.05 states/eV/f.u.
Polymorph energy (0 for the lowest one)   131 meV per atom
Crystal system   cubic

=====

3.
Compound: In2HBr6
Source: the Alexandria database
Functional: GGA-PBE
Structure: optimized geometry

a = 7.800 Å, b = 10.107 Å, c = 10.107 Å
α = 65.49°, β = 82.69°, γ = 82.69°
Positions (direct):
Br1 0.779 0.011 0.592
Br2 0.064 0.119 0.797
Br3 0.356 0.346 0.418
Br4 0.279 0.592 0.011
In1 0.939 0.812 0.496
H1 0.750 0.825 0.175
Br5 0.721 0.408 0.989
Br6 0.564 0.797 0.119
Br7 0.221 0.989 0.408
Br8 0.856 0.418 0.346
H2 0.250 0.175 0.825
In2 0.439 0.496 0.812
Br9 0.144 0.582 0.654
Br10 0.436 0.203 0.881
Br11 0.644 0.654 0.582
In3 0.061 0.188 0.504
In4 0.561 0.504 0.188
Br12 0.936 0.881 0.203

Results
Total magnetization   0.000 μB per atom
Space-group type   C2/c (15)
Uncorrected energy   -2.679 eV per atom
Density of states at the Fermi level   3.25 states/eV/f.u.
Crystal system   monoclinic

=====

4.
Compound: In2HBr2
Source: the Alexandria database
Functional: GGA-PBE
Structure: optimized geometry

a = 6.244 Å, b = 6.244 Å, c = 7.123 Å
α = 64.00°, β = 64.00°, γ = 90.00°
Last column: magnetic moment on the atom in μB.
Positions (direct):
In1 0.250 0.750 0.500  0.00
H1 0.000 0.000 0.000  0.37
Br1 0.310 0.310 0.381  0.02
In2 0.750 0.250 0.500  0.00
Br2 0.690 0.690 0.619  0.02

Results
Total magnetization   0.200 μB per atom
Space-group type   I4/mmm (139)
Uncorrected energy   -2.411 eV per atom
Density of states at the Fermi level   0.00 states/eV/f.u.
Crystal system   tetragonal